No. 1
This record from OQMD via LeMat-Bulk describes a relaxed Zr2SiPt2Pb crystal. The functional is PBE.

abc: 10.9441 4.4670 10.9774
angles: 90.00 109.46 90.00
Closest atoms and distances in Å follow each position.
Positions (direct):
Pt 0.7333 0.5000 0.2362  2 Si 2.61-2.65, 4 Zr 2.66-2.89, 2 Pb 2.82
Zr 0.8829 0.0000 0.8887  4 Pt 2.65-2.87
Zr 0.7427 0.5000 0.4935  4 Pt 2.78-2.79, 1 Si 3.11
Pt 0.8747 0.0000 0.6244  4 Pb 2.75-2.78, 4 Zr 2.79-2.87
Zr 0.6175 0.0000 0.1240  4 Pt 2.66-2.75
Pt 0.3697 0.0000 0.1329  4 Zr 2.61-2.75, 3 Si 2.66-2.71, 1 Pb 2.86
Pt 0.6409 0.0000 0.8903  2 Si 2.65, 4 Zr 2.65-2.82, 2 Pb 2.84-2.86
Pb 0.8720 0.0000 0.3703  4 Pt 2.78-2.85
Pt 0.1326 0.0000 0.3708  4 Zr 2.61-2.73, 3 Si 2.63-2.72, 1 Pb 2.85
Si 0.2526 0.5000 0.4965  4 Pt 2.56-2.72
Pt 0.4869 0.5000 0.4871  2 Si 2.60-2.64, 4 Zr 2.67-2.84, 2 Pb 2.84
Pb 0.0045 0.5000 0.7539  4 Pt 2.77-2.88
Zr 0.1279 0.0000 0.6153  4 Pt 2.70-2.81
Pt 0.0049 0.5000 0.0166  4 Zr 2.60-2.74, 3 Si 2.68-2.73, 1 Pb 2.88
Pt 0.2539 0.5000 0.7305  1 Si 2.56, 3 Zr 2.71, 3 Pb 2.80-2.82
Zr 0.3709 0.0000 0.3714  4 Pt 2.61-2.67
Zr 0.5077 0.5000 0.7523  4 Pt 2.71-2.84
Si 0.4958 0.5000 0.2493  4 Pt 2.64-2.71
Pb 0.3743 0.0000 0.8741  4 Pt 2.80-2.86, 1 Zr 3.12
Si 0.7514 0.5000 0.0051  4 Pt 2.61-2.73
Zr 0.0022 0.5000 0.2525  4 Pt 2.60-2.89
Si 0.1259 0.0000 0.1293  4 Pt 2.63-2.68
Pb 0.6240 0.0000 0.6267  4 Pt 2.75-2.84
Zr 0.2509 0.5000 0.0085  3 Pt 2.71-2.72

No. 2
This record from OQMD via LeMat-Bulk describes a relaxed ThSi2 crystal. The functional is PBE.

abc: 4.1359 4.1359 4.1528
angles: 90.00 90.00 120.00
Closest atoms and distances in Å follow each position.
Positions (direct):
Si 0.6667 0.3334 0.5000  3 Si 2.39
Th 0.0000 0.0000 0.0000  12 Si 3.16
Si 0.3334 0.6667 0.5000  3 Si 2.39

No. 3
This record from OQMD via LeMat-Bulk describes a relaxed Fe2Bi3Te crystal. The functional is PBE.

abc: 5.8929 3.4728 6.6680
angles: 90.00 91.32 90.00
Closest atoms and distances in Å follow each position.
Positions (direct):
Bi 0.2949 0.5000 0.1510  3 Fe 2.67-2.72
Fe 0.9864 0.0000 0.9895  2 Te 2.56, 4 Bi 2.65-2.72
Bi 0.2062 0.0000 0.6475  3 Fe 2.65-2.68
Te 0.7023 0.5000 0.8545  3 Fe 2.55-2.56
Bi 0.8002 0.0000 0.3492  3 Fe 2.66-2.67
Fe 0.5101 0.5000 0.5083  1 Te 2.55, 5 Bi 2.67-2.68

No. 4
This record from OQMD via LeMat-Bulk describes a relaxed LuMgPO crystal. The functional is PBE.

abc: 4.3634 4.3634 8.9828
angles: 90.00 90.00 90.00
Closest atoms and distances in Å follow each position.
Positions (direct):
Mg 0.7500 0.7500 0.0080  4 O 2.18
P 0.7500 0.7500 0.3369  4 Lu 2.63
P 0.2500 0.2500 0.6631  4 Lu 2.63
Lu 0.7500 0.2500 0.5000  4 P 2.63
O 0.7500 0.2500 0.0000  4 Mg 2.18
Mg 0.2500 0.2500 0.9920  4 O 2.18
O 0.2500 0.7500 0.0000  4 Mg 2.18
Lu 0.2500 0.7500 0.5000  4 P 2.63

No. 5
This record from OQMD via LeMat-Bulk describes a relaxed Zr3InF15 crystal. The functional is PBE.

abc: 7.7963 7.7963 7.7963
angles: 99.53 99.53 99.53
Closest atoms and distances in Å follow each position.
Positions (direct):
Zr 0.7500 0.3152 0.1848  8 F 2.09-2.12
F 0.2006 0.2316 0.9773  1 In 2.07, 1 Zr 2.12
F 0.5398 0.1704 0.6370  2 Zr 2.09-2.10
F 0.0398 0.1370 0.6704  2 Zr 2.09-2.10
F 0.7994 0.7684 0.0227  1 In 2.07, 1 Zr 2.12
F 0.2684 0.2994 0.5227  1 In 2.07, 1 Zr 2.12
Zr 0.3152 0.1848 0.7500  8 F 2.09-2.12
F 0.7006 0.4773 0.7316  1 In 2.07, 1 Zr 2.12
F 0.5227 0.2684 0.2994  1 In 2.07, 1 Zr 2.12
F 0.2316 0.9773 0.2006  1 In 2.07, 1 Zr 2.12
F 0.4602 0.8296 0.3630  2 Zr 2.09-2.10
Zr 0.2500 0.6848 0.8152  8 F 2.09-2.12
Zr 0.8152 0.2500 0.6848  8 F 2.09-2.12
F 0.6370 0.5398 0.1704  2 Zr 2.09-2.10
F 0.7684 0.0227 0.7994  1 In 2.07, 1 Zr 2.12
F 0.2500 0.9624 0.5376  2 Zr 2.12
Zr 0.1848 0.7500 0.3152  8 F 2.09-2.12
F 0.2994 0.5227 0.2684  1 In 2.07, 1 Zr 2.12
F 0.5376 0.2500 0.9624  2 Zr 2.12
F 0.3296 0.9602 0.8630  2 Zr 2.09-2.10
F 0.4773 0.7316 0.7006  1 In 2.07, 1 Zr 2.12
F 0.1704 0.6370 0.5398  2 Zr 2.09-2.10
F 0.0227 0.7994 0.7684  1 In 2.07, 1 Zr 2.12
F 0.0376 0.4624 0.7500  2 Zr 2.12
F 0.9624 0.5376 0.2500  2 Zr 2.12
F 0.8630 0.3296 0.9602  2 Zr 2.09-2.10
F 0.9602 0.8630 0.3296  2 Zr 2.09-2.10
F 0.9773 0.2006 0.2316  1 In 2.07, 1 Zr 2.12
F 0.7500 0.0376 0.4624  2 Zr 2.12
F 0.6704 0.0398 0.1370  2 Zr 2.09-2.10
Zr 0.6848 0.8152 0.2500  8 F 2.09-2.12
F 0.1370 0.6704 0.0398  2 Zr 2.09-2.10
In 0.2500 0.2500 0.2500  6 F 2.07
In 0.7500 0.7500 0.7500  6 F 2.07
F 0.3630 0.4602 0.8296  2 Zr 2.09-2.10
F 0.8296 0.3630 0.4602  2 Zr 2.09-2.10
F 0.7316 0.7006 0.4773  1 In 2.07, 1 Zr 2.12
F 0.4624 0.7500 0.0376  2 Zr 2.12

No. 6
This record from OQMD via LeMat-Bulk describes a relaxed Sc2AlGeIr4 crystal. The functional is PBE.

abc: 6.9320 5.3461 5.3461
angles: 41.25 90.00 90.00
Closest atoms and distances in Å follow each position.
Positions (direct):
Sc 0.0000 0.4469 0.4469  3 Al 2.81-2.89, 8 Ir 2.87-2.97
Sc 0.5000 0.5522 0.5522  3 Ge 2.82-2.89, 8 Ir 2.89-2.96
Ir 0.2037 0.1276 0.1276  1 Ge 2.50, 2 Al 2.56, 1 Ir 2.62
Ir 0.7053 0.8735 0.8735  1 Al 2.51, 2 Ge 2.57, 1 Ir 2.62
Al 0.0000 0.7281 0.7281  6 Ir 2.51-2.56
Ge 0.5000 0.2707 0.2707  6 Ir 2.50-2.57
Ir 0.7963 0.1276 0.1276  1 Ge 2.50, 2 Al 2.56, 1 Ir 2.62
Ir 0.2947 0.8735 0.8735  1 Al 2.51, 2 Ge 2.57, 1 Ir 2.62

For the records above, the corresponding energy values read -7.24 -6.71 -5.17 -5.38 -6.36 -7.75 eV/atom.